VASP calculation (GGA+U) on a relaxed PmCo2TcO6 crystal.

Cell: 5.6525 5.6525 5.6525 Å, 55.81 55.81 55.81°
Sites, in units of the cell vectors:
Pm  0.0000  0.0000  0.0000
Co  0.2648  0.2648  0.2648
Co  0.7880  0.7880  0.7880
Tc  0.4725  0.4725  0.4725
O  0.0591  0.6335  0.4526
O  0.1688  0.5584  0.8780
O  0.4526  0.0591  0.6335
O  0.5584  0.8780  0.1688
O  0.6335  0.4526  0.0591
O  0.8780  0.1688  0.5584

## Properties
SG = R3
size of the total moment = 6.000 μB/f.u.
DFT total energy = -7.13 eV/atom